Record 1
Tc2Ni6Ru: relaxed, PBE-GGA.

Cell lengths 3.6750, 5.6556, 5.8194 Å; angles 84.11, 71.59, 71.04 degrees
Sites, in units of the cell vectors:
Ni 0.9982 0.8373 0.1663
Ni 0.3303 0.8395 0.5000
Ni 0.3355 0.1626 0.1663
Ni 0.0018 0.1627 0.8337
Ru 0.0000 0.5000 0.5000
Ni 0.6697 0.1605 0.5000
Tc 0.6673 0.5000 0.1655
Ni 0.6645 0.8374 0.8337
Tc 0.3327 0.5000 0.8345

Values from the calculation:
E_form in eV per atom: 0.037
ρ in g/cm³: 9.93
Space group: Fmmm (69)
E in eV per cell: -64.36
Spin magnetization in μB per cell: 0.00



Record 2
TcNiRu2: relaxed, PBE-GGA.

Cell lengths 2.7166, 2.7166, 8.6222 Å; angles 80.94, 80.94, 60.00 degrees
Site moments in Bohr magnetons follow the coordinates.
Sites, in units of the cell vectors:
Ni 0.6658 0.6658 0.0027  0.19
Ru 0.2506 0.2506 0.2483  0.04
Tc 0.5006 0.5006 0.4981  -0.02
Ru 0.0830 0.0830 0.7509  0.04

Values from the calculation:
E above lowest polymorph in meV per atom: 0
E_form in eV per atom: 0.052
ρ in g/cm³: 11.00
Space group: R3m (160)
E in eV per cell: -34.49
Spin magnetization in μB per cell: 0.24



Record 3
TcNi2Ru: relaxed, PBE-GGA.

Cell lengths 4.5454, 4.5454, 4.4991 Å; angles 80.44, 80.44, 33.51 degrees
Sites, in units of the cell vectors:
Ni 0.0015 0.0015 0.9882
Ni 0.7493 0.7493 0.7622
Tc 0.2532 0.2532 0.2522
Ru 0.4959 0.4959 0.4973

Values from the calculation:
E above lowest polymorph in meV per atom: 39
E_form in eV per atom: 0.058
ρ in g/cm³: 10.40
Space group: Cm (8)
E in eV per cell: -30.97
Spin magnetization in μB per cell: 0.00



Record 4
TcNiRu2: relaxed, PBE-GGA.

Cell lengths 8.7876, 8.7876, 8.7876 Å; angles 17.62, 17.62, 17.62 degrees
Site moments in Bohr magnetons follow the coordinates.
Sites, in units of the cell vectors:
Ni 0.7500 0.7500 0.7500  0.47
Tc 0.2500 0.2500 0.2500  -0.02
Ru 0.0013 0.0013 0.0013  0.15
Ru 0.4987 0.4987 0.4987  0.15

Values from the calculation:
E above lowest polymorph in meV per atom: 62
E_form in eV per atom: 0.115
ρ in g/cm³: 10.97
Space group: R-3m (166)
E in eV per cell: -34.24
Spin magnetization in μB per cell: 0.73



Record 5
TcNi2Ru: relaxed, PBE-GGA.

Cell lengths 4.0247, 2.5900, 4.9873 Å; angles 75.00, 90.00, 90.00 degrees
Sites, in units of the cell vectors:
Ni 0.0000 0.1890 0.9963
Tc 0.5000 0.8004 0.7730
Ru 0.0000 0.4495 0.4768
Ni 0.5000 0.0610 0.2540

Values from the calculation:
E above lowest polymorph in meV per atom: 46
E_form in eV per atom: 0.066
ρ in g/cm³: 10.46
Space group: Amm2 (38)
E in eV per cell: -30.94
Spin magnetization in μB per cell: 0.00



Record 6
TcNiRu2: relaxed, PBE-GGA.

Cell lengths 4.2640, 4.2640, 4.2640 Å; angles 60.00, 60.00, 60.00 degrees
Site moments in Bohr magnetons follow the coordinates.
Sites, in units of the cell vectors:
Ru 0.7500 0.7500 0.7500  0.30
Ru 0.0000 0.0000 0.0000  0.61
Ni 0.5000 0.5000 0.5000  0.02
Tc 0.2500 0.2500 0.2500  -0.03

Values from the calculation:
E above lowest polymorph in meV per atom: 340
E_form in eV per atom: 0.392
ρ in g/cm³: 10.87
Space group: F-43m (216)
E in eV per cell: -33.13
Spin magnetization in μB per cell: 0.92



Record 7
TcNiRu2: relaxed, PBE-GGA.

Cell lengths 2.6929, 2.6929, 7.4168 Å; angles 90.00, 90.00, 90.00 degrees
Sites, in units of the cell vectors:
Ni 0.5000 0.5000 0.7500
Ru 0.0000 0.0000 0.5079
Tc 0.5000 0.5000 0.2500
Ru 0.0000 0.0000 0.9921

Values from the calculation:
E above lowest polymorph in meV per atom: 55
E_form in eV per atom: 0.107
ρ in g/cm³: 11.08
Space group: P4/mmm (123)
E in eV per cell: -34.27
Spin magnetization in μB per cell: 0.00



Record 8
TcNi2Ru: relaxed, PBE-GGA.

Cell lengths 2.6402, 2.6402, 7.2556 Å; angles 90.00, 90.00, 90.00 degrees
Sites, in units of the cell vectors:
Ru 0.0000 0.0000 0.4900
Tc 0.5000 0.5000 0.7592
Ni 0.5000 0.5000 0.2423
Ni 0.0000 0.0000 0.0085

Values from the calculation:
E above lowest polymorph in meV per atom: 41
E_form in eV per atom: 0.061
ρ in g/cm³: 10.39
Space group: P4mm (99)
E in eV per cell: -30.96
Spin magnetization in μB per cell: 0.00



Record 9
TcNiRu2: relaxed, PBE-GGA.

Cell lengths 5.1690, 5.1690, 5.1690 Å; angles 148.81, 130.34, 59.82 degrees
Sites, in units of the cell vectors:
Ni 0.2500 0.7500 0.5000
Ru 0.0246 0.0246 0.0000
Tc 0.7500 0.2500 0.5000
Ru 0.4754 0.4754 0.0000

Values from the calculation:
E above lowest polymorph in meV per atom: 219
E_form in eV per atom: 0.271
ρ in g/cm³: 11.02
Space group: Immm (71)
E in eV per cell: -33.61
Spin magnetization in μB per cell: 0.00



Record 10
TcNiRu2: relaxed, PBE-GGA.

Cell lengths 2.6866, 3.7789, 5.2948 Å; angles 90.00, 90.00, 90.00 degrees
Sites, in units of the cell vectors:
Tc 0.5000 0.5000 0.2500
Ni 0.5000 0.5000 0.7500
Ru 0.0000 0.0000 0.9938
Ru 0.0000 0.0000 0.5062

Values from the calculation:
E above lowest polymorph in meV per atom: 28
E_form in eV per atom: 0.081
ρ in g/cm³: 11.08
Space group: Pmmm (47)
E in eV per cell: -34.38
Spin magnetization in μB per cell: 0.00



Record 11
TcNi2Ru: relaxed, PBE-GGA.

Cell lengths 4.5113, 4.5113, 4.5433 Å; angles 80.13, 80.13, 34.10 degrees
Sites, in units of the cell vectors:
Ni 0.4990 0.4990 0.4959
Ni 0.0010 0.0010 0.0041
Ru 0.7500 0.7500 0.7500
Tc 0.2500 0.2500 0.2500

Values from the calculation:
E above lowest polymorph in meV per atom: 108
E_form in eV per atom: 0.127
ρ in g/cm³: 10.30
Space group: C2/m (12)
E in eV per cell: -30.70
Spin magnetization in μB per cell: 0.00



Record 12
TcNi2Ru: relaxed, PBE-GGA.

Cell lengths 8.6144, 8.6144, 8.6144 Å; angles 17.61, 17.61, 17.61 degrees
Sites, in units of the cell vectors:
Ru 0.2500 0.2500 0.2500
Ni 0.4998 0.4998 0.4998
Tc 0.7500 0.7500 0.7500
Ni 0.0002 0.0002 0.0002

Values from the calculation:
E above lowest polymorph in meV per atom: 139
E_form in eV per atom: 0.159
ρ in g/cm³: 10.29
Space group: R-3m (166)
E in eV per cell: -30.57
Spin magnetization in μB per cell: 0.00



Record 13
TcNiRu3: relaxed, PBE-GGA.

Cell lengths 4.3366, 4.3366, 4.3366 Å; angles 90.00, 90.00, 90.00 degrees
Site moments in Bohr magnetons follow the coordinates.
Sites, in units of the cell vectors:
Ru 0.5000 0.0000 0.0000  0.09
Tc 0.5000 0.5000 0.5000  0.49
Ru 0.0000 0.5000 0.0000  0.19
Ru 0.0000 0.0000 0.5000  0.28
Ni 0.0000 0.0000 0.0000  0.35

Values from the calculation:
E above lowest polymorph in meV per atom: 0
E_form in eV per atom: 1.653
ρ in g/cm³: 9.36
Space group: Pm-3m (221)
E in eV per cell: -35.71
Spin magnetization in μB per cell: 1.47



Record 14
TcNi2Ru: relaxed, PBE-GGA.

Cell lengths 5.2498, 5.2498, 6.3730 Å; angles 65.68, 65.68, 90.00 degrees
Sites, in units of the cell vectors:
Ni 0.3750 0.3745 0.7500
Ni 0.8750 0.8755 0.7500
Tc 0.2500 0.7500 0.5000
Ru 0.7500 0.2500 0.5000
Ni 0.6255 0.1250 0.2500
Tc 0.5000 0.5000 0.0000
Ni 0.1245 0.6250 0.2500
Ru 0.0000 0.0000 0.0000

Values from the calculation:
E above lowest polymorph in meV per atom: 1347
E_form in eV per atom: 1.367
ρ in g/cm³: 7.36
Space group: I-42d (122)
E in eV per cell: -51.48
Spin magnetization in μB per cell: 0.00



Record 15
TcNi2Ru: relaxed, PBE-GGA.

Cell lengths 4.5726, 4.5726, 4.5726 Å; angles 132.90, 132.92, 68.80 degrees
Sites, in units of the cell vectors:
Ni 0.5000 0.5000 0.0000
Ni 0.0000 0.0000 0.0000
Ru 0.2500 0.7500 0.5000
Tc 0.7500 0.2500 0.5000

Values from the calculation:
E above lowest polymorph in meV per atom: 67
E_form in eV per atom: 0.087
ρ in g/cm³: 10.43
Space group: I4/mmm (139)
E in eV per cell: -30.86
Spin magnetization in μB per cell: 0.00



Record 16
TcNiRu2: relaxed, PBE-GGA.

Cell lengths 4.6747, 4.6747, 4.6747 Å; angles 132.99, 132.99, 68.66 degrees
Sites, in units of the cell vectors:
Ru 0.0000 0.0000 0.0000
Ni 0.2500 0.7500 0.5000
Tc 0.5000 0.5000 0.0000
Ru 0.7500 0.2500 0.5000

Values from the calculation:
E above lowest polymorph in meV per atom: 58
E_form in eV per atom: 0.110
ρ in g/cm³: 11.10
Space group: I-4m2 (119)
E in eV per cell: -34.26
Spin magnetization in μB per cell: 0.00



Record 17
TcNiRu4: relaxed, PBE-GGA.

Cell lengths 5.0015, 5.0015, 5.0015 Å; angles 60.00, 60.00, 60.00 degrees
Sites, in units of the cell vectors:
Ru 0.3746 0.3746 0.8761
Ru 0.3746 0.8761 0.3746
Ni 0.0000 0.0000 0.0000
Ru 0.8761 0.3746 0.3746
Tc 0.7500 0.7500 0.7500
Ru 0.3746 0.3746 0.3746

Values from the calculation:
E_form in eV per atom: 0.599
ρ in g/cm³: 10.53
Space group: F-43m (216)
E in eV per cell: -49.65
Spin magnetization in μB per cell: 0.04



Record 18
TcNi2Ru: relaxed, PBE-GGA.

Cell lengths 3.6561, 3.6557, 3.7657 Å; angles 90.00, 90.00, 90.00 degrees
Sites, in units of the cell vectors:
Tc 0.0000 0.5000 0.5000
Ru 0.5000 0.0000 0.5000
Ni 0.0000 0.0000 0.0000
Ni 0.5000 0.5000 0.0000

Values from the calculation:
E above lowest polymorph in meV per atom: 71
E_form in eV per atom: 0.091
ρ in g/cm³: 10.44
Space group: P4/mmm (123)
E in eV per cell: -30.84
Spin magnetization in μB per cell: 0.00



Record 19
TcNiRu2: relaxed, PBE-GGA.

Cell lengths 4.2555, 4.2555, 4.2555 Å; angles 60.00, 60.00, 60.00 degrees
Sites, in units of the cell vectors:
Ru 0.7500 0.7500 0.7500
Ru 0.2500 0.2500 0.2500
Ni 0.0000 0.0000 0.0000
Tc 0.5000 0.5000 0.5000

Values from the calculation:
E above lowest polymorph in meV per atom: 236
E_form in eV per atom: 0.289
ρ in g/cm³: 10.93
Space group: Fm-3m (225)
E in eV per cell: -33.54
Spin magnetization in μB per cell: 0.00



Record 20
TcNi2Ru: relaxed, PBE-GGA.

Cell lengths 3.7537, 2.5980, 5.7853 Å; angles 63.29, 90.00, 90.00 degrees
Sites, in units of the cell vectors:
Ni 0.0000 0.4975 0.5030
Ni 0.0000 0.0025 0.9970
Tc 0.5000 0.7500 0.7500
Ru 0.5000 0.2500 0.2500

Values from the calculation:
E above lowest polymorph in meV per atom: 79
E_form in eV per atom: 0.098
ρ in g/cm³: 10.43
Space group: Pmmm (47)
E in eV per cell: -30.81
Spin magnetization in μB per cell: 0.00